! NaAcCoF6 (PBE+U, relaxed); values from VASP
! DFT total energy	-5.52	eV per atom
! M_tot	6.000	Bohr magnetons per cell
! density of states at the Fermi level	0.0000	states/eV/atom
! SG	P-31c (163)
&SYSTEM
  ibrav = 0, nat = 18, ntyp = 4
/
ATOMIC_SPECIES
Na 22.99 Na.upf
Ac 227.00 Ac.upf
Co 58.93 Co.upf
F 19.00 F.upf
ATOMIC_POSITIONS crystal
Na 0.000 0.000 0.000
Na 0.000 0.000 0.500
Ac 0.333 0.667 0.250
Ac 0.667 0.333 0.750
Co 0.667 0.333 0.250
Co 0.333 0.667 0.750
F 0.676 0.630 0.127
F 0.953 0.324 0.127
F 0.324 0.953 0.627
F 0.047 0.676 0.873
F 0.370 0.324 0.373
F 0.953 0.630 0.373
F 0.630 0.953 0.873
F 0.676 0.047 0.373
F 0.047 0.370 0.627
F 0.370 0.047 0.127
F 0.630 0.676 0.627
F 0.324 0.370 0.873
CELL_PARAMETERS angstrom
6.042 0.000 0.000
-3.021 5.233 0.000
0.000 0.000 8.832